[1]
The following is a DFT calculation (GGA-PBE) of a relaxed Ca2BiCl8 crystal.

Cell: 7.5091 7.5091 6.0843 Å, 106.10 106.10 109.58°
With the nearest neighbours (Å) after each atom.
Element x y z (fractional)
1 Ca 0.1846 0.8154 0.0000  6 Cl 2.80-2.96
2 Ca 0.8154 0.1846 0.0000  6 Cl 2.80-2.96
3 Bi 0.5000 0.5000 0.5000  8 Cl 2.76-3.07
4 Cl 0.1451 0.1451 0.3541  1 Bi 2.76, 2 Ca 2.96
5 Cl 0.1880 0.4334 0.9987  2 Ca 2.80-2.87, 2 Cl 3.00-3.01, 1 Bi 3.07
6 Cl 0.2680 0.7320 0.5000  1 Bi 2.85, 2 Cl 3.00
7 Cl 0.4334 0.1880 0.9987  2 Ca 2.80-2.87, 2 Cl 3.00-3.01, 1 Bi 3.07
8 Cl 0.5666 0.8120 0.0013  2 Ca 2.80-2.87, 2 Cl 3.00-3.01, 1 Bi 3.07
9 Cl 0.7320 0.2680 0.5000  1 Bi 2.85, 2 Cl 3.00
10 Cl 0.8120 0.5666 0.0013  2 Ca 2.80-2.87, 2 Cl 3.00-3.01, 1 Bi 3.07
11 Cl 0.8549 0.8549 0.6459  1 Bi 2.76, 2 Ca 2.96

Values from the calculation:
ΔE_f (raw) = -1.43 eV/atom
DOS(E_F) = 5.008 states/eV/f.u.

=====

[2]
The following is a DFT calculation (GGA-PBE) of a relaxed Cs2CaBiCl6 crystal.

Cell: 8.7166 10.9569 7.8270 Å, 90.00 90.00 90.00°
With the nearest neighbours (Å) after each atom.
Element x y z (fractional)
1 Cs 0.2500 0.0074 0.1586  8 Cl 3.64-4.05
2 Cs 0.2500 0.4926 0.1586  8 Cl 3.64-4.05
3 Cs 0.7500 0.5074 0.8414  8 Cl 3.64-4.05
4 Cs 0.7500 0.9926 0.8414  8 Cl 3.64-4.05
5 Ca 0.2500 0.2500 0.6847  6 Cl 2.68-2.82
6 Ca 0.7500 0.7500 0.3153  6 Cl 2.68-2.82
7 Bi 0.2500 0.7500 0.6482  4 Cl 2.72
8 Bi 0.7500 0.2500 0.3518  4 Cl 2.72
9 Cl 0.0160 0.2500 0.9064  1 Ca 2.68
10 Cl 0.0591 0.2500 0.3944  1 Bi 2.72, 1 Ca 2.82
11 Cl 0.2500 0.5024 0.6755  1 Bi 2.72, 1 Ca 2.77
12 Cl 0.2500 0.9976 0.6755  1 Bi 2.72, 1 Ca 2.77
13 Cl 0.4409 0.2500 0.3944  1 Bi 2.72, 1 Ca 2.82
14 Cl 0.4840 0.2500 0.9064  1 Ca 2.68
15 Cl 0.5160 0.7500 0.0936  1 Ca 2.68
16 Cl 0.5591 0.7500 0.6056  1 Bi 2.72, 1 Ca 2.82
17 Cl 0.7500 0.0024 0.3245  1 Bi 2.72, 1 Ca 2.77
18 Cl 0.7500 0.4976 0.3245  1 Bi 2.72, 1 Ca 2.77
19 Cl 0.9409 0.7500 0.6056  1 Bi 2.72, 1 Ca 2.82
20 Cl 0.9840 0.7500 0.0936  1 Ca 2.68

Values from the calculation:
ΔE_f (raw) = -1.71 eV/atom

=====

[3]
The following is a DFT calculation (GGA-PBE) of a relaxed Cs2CaBiCl6 crystal.

Cell: 8.2262 8.2262 8.2262 Å, 123.82 123.82 83.50°
With the nearest neighbours (Å) after each atom.
Element x y z (fractional)
1 Cs 0.2500 0.7500 0.5000  12 Cl 3.89-4.11
2 Cs 0.7500 0.2500 0.5000  12 Cl 3.89-4.11
3 Ca 0.0000 0.0000 0.0000  6 Cl 2.69-2.75
4 Bi 0.5000 0.5000 0.0000  4 Cl 2.73
5 Cl 0.2188 0.2188 0.0000  1 Ca 2.69
6 Cl 0.2510 0.2510 0.5020  1 Bi 2.73, 1 Ca 2.75
7 Cl 0.2510 0.7490 0.0000  1 Bi 2.73, 1 Ca 2.75
8 Cl 0.7490 0.2510 0.0000  1 Bi 2.73, 1 Ca 2.75
9 Cl 0.7490 0.7490 0.4980  1 Bi 2.73, 1 Ca 2.75
10 Cl 0.7812 0.7812 0.0000  1 Ca 2.69

Values from the calculation:
ΔE_f (raw) = -1.71 eV/atom
DOS(E_F) = 0.000 states/eV/f.u.

=====

[4]
The following is a DFT calculation (GGA-PBE) of a relaxed CsCaBiCl6 crystal.

Cell: 7.2377 7.2377 7.6785 Å, 90.00 90.00 120.00°
With the nearest neighbours (Å) after each atom.
Element x y z (fractional)
1 Cs 0.0000 0.0000 0.0000  6 Cl 3.56
2 Ca 0.3333 0.6667 0.5000  6 Cl 2.77
3 Bi 0.6667 0.3333 0.5000  6 Cl 2.74
4 Cl 0.3790 0.0022 0.7036  1 Bi 2.74, 1 Ca 2.77
5 Cl 0.3790 0.3768 0.2964  1 Bi 2.74, 1 Ca 2.77
6 Cl 0.6232 0.0022 0.2964  1 Bi 2.74, 1 Ca 2.77
7 Cl 0.6232 0.6210 0.7036  1 Bi 2.74, 1 Ca 2.77
8 Cl 0.9978 0.3768 0.7036  1 Bi 2.74, 1 Ca 2.77
9 Cl 0.9978 0.6210 0.2964  1 Bi 2.74, 1 Ca 2.77

Values from the calculation:
ΔE_f (raw) = -1.74 eV/atom
DOS(E_F) = 0.000 states/eV/f.u.

=====

[5]
The following is a DFT calculation (GGA-PBE) of a relaxed CaBiCl2F crystal.

Cell: 5.5710 5.5710 4.2228 Å, 90.00 90.00 90.00°
With the nearest neighbours (Å) after each atom.
Element x y z (fractional)
1 Ca 0.0000 0.0000 0.0000  2 F 2.11
2 Bi 0.5000 0.5000 0.5000  8 Cl 3.50
3 Cl 0.0000 0.5000 0.0000  2 Ca 2.79
4 Cl 0.5000 0.0000 0.0000  2 Ca 2.79
5 F 0.0000 0.0000 0.5000  2 Ca 2.11

Values from the calculation:
ΔE_f (raw) = -1.68 eV/atom
DOS(E_F) = 2.492 states/eV/f.u.

=====

[6]
The following is a DFT calculation (GGA-PBE) of a relaxed CaBiClF2 crystal.

Cell: 4.8573 4.8573 5.1624 Å, 90.00 90.00 90.00°
With the nearest neighbours (Å) after each atom.
Element x y z (fractional)
1 Ca 0.0000 0.0000 0.0000  4 Bi 3.43, 8 F 3.54
2 Bi 0.5000 0.5000 0.0000  2 Cl 2.58
3 Cl 0.5000 0.5000 0.5000  4 F 2.43, 2 Bi 2.58
4 F 0.0000 0.5000 0.5000  2 Cl 2.43
5 F 0.5000 0.0000 0.5000  2 Cl 2.43

Values from the calculation:
ΔE_f (raw) = -0.84 eV/atom
DOS(E_F) = 4.186 states/eV/f.u.

=====

[7]
The following is a DFT calculation (GGA-PBE) of a relaxed CaBi2HCl crystal.

Cell: 4.5258 4.5258 6.2431 Å, 90.00 90.00 90.00°
With the nearest neighbours (Å) after each atom.
Element x y z (fractional)
1 Ca 0.0000 0.0000 0.0000  4 Cl 3.20
2 Bi 0.0000 0.5000 0.5000  2 H 2.26
3 Bi 0.5000 0.0000 0.5000  2 H 2.26
4 H 0.5000 0.5000 0.5000  4 Bi 2.26
5 Cl 0.5000 0.5000 0.0000  2 H 3.12, 4 Ca 3.20

Values from the calculation:
VASP energy = -3.39 eV/atom
DOS(E_F) = 1.292 states/eV/f.u.

=====

[8]
The following is a DFT calculation (GGA-PBE) of a relaxed CaBiICl2 crystal.

Cell: 5.4490 5.4490 6.3858 Å, 90.00 90.00 90.00°
With the nearest neighbours (Å) after each atom.
Element x y z (fractional)
1 Ca 0.0000 0.0000 0.0000  2 I 3.19
2 Bi 0.5000 0.5000 0.0000  4 Ca 3.85, 8 Cl 4.20
3 I 0.0000 0.0000 0.5000  4 Cl 2.72
4 Cl 0.0000 0.5000 0.5000  2 I 2.72
5 Cl 0.5000 0.0000 0.5000  2 I 2.72

Values from the calculation:
ΔE_f (raw) = -0.08 eV/atom
DOS(E_F) = 7.530 states/eV/f.u.

=====

[9]
The following is a DFT calculation (GGA-PBE) of a relaxed Ca2InBiCl8 crystal.

Cell: 6.4645 8.7229 6.7106 Å, 90.00 90.01 90.00°
With the nearest neighbours (Å) after each atom.
Element x y z (fractional)
1 Ca 0.0000 0.2453 0.0000  6 Cl 2.72-2.92
2 Ca 0.0000 0.7547 0.0000  6 Cl 2.72-2.92
3 In 0.5000 0.0000 0.5000  6 Cl 3.05-3.14
4 Bi 0.5000 0.5000 0.5000  6 Cl 2.72-2.81
5 Cl 0.2187 0.0000 0.1352  2 Ca 2.72
6 Cl 0.2329 0.5000 0.1698  1 Bi 2.81, 2 Ca 2.92
7 Cl 0.2560 0.2823 0.6715  1 Bi 2.72, 1 Ca 2.78
8 Cl 0.2560 0.7177 0.6715  1 Bi 2.72, 1 Ca 2.78
9 Cl 0.7440 0.2823 0.3285  1 Bi 2.72, 1 Ca 2.78
10 Cl 0.7440 0.7177 0.3285  1 Bi 2.72, 1 Ca 2.78
11 Cl 0.7671 0.5000 0.8302  1 Bi 2.81, 2 Ca 2.92
12 Cl 0.7813 0.0000 0.8648  2 Ca 2.72

Values from the calculation:
ΔE_f (raw) = -1.63 eV/atom
DOS(E_F) = 0.000 states/eV/f.u.

=====

[10]
The following is a DFT calculation (GGA-PBE) of a relaxed Ca12Bi4N3Cl crystal.

Cell: 8.7369 8.7369 8.7369 Å, 109.47 109.47 109.47°
With the nearest neighbours (Å) after each atom.
Element x y z (fractional)
1 Ca 0.0000 0.2745 0.2745  1 N 2.27
2 Ca 0.0000 0.7255 0.7255  1 N 2.27
3 Ca 0.2500 0.5000 0.7500  2 N 2.52
4 Ca 0.2500 0.7500 0.5000  2 N 2.52
5 Ca 0.2745 0.0000 0.2745  1 N 2.27
6 Ca 0.2745 0.2745 0.0000  1 N 2.27
7 Ca 0.5000 0.2500 0.7500  2 N 2.52
8 Ca 0.5000 0.7500 0.2500  2 N 2.52
9 Ca 0.7255 0.0000 0.7255  1 N 2.27
10 Ca 0.7255 0.7255 0.0000  1 N 2.27
11 Ca 0.7500 0.2500 0.5000  2 N 2.52
12 Ca 0.7500 0.5000 0.2500  2 N 2.52
13 Bi 0.0000 0.0000 0.5000  12 Ca 3.57-3.58
14 Bi 0.0000 0.5000 0.0000  12 Ca 3.57-3.58
15 Bi 0.5000 0.0000 0.0000  12 Ca 3.57-3.58
16 Bi 0.5000 0.5000 0.5000  12 Ca 3.57-3.58
17 N 0.0000 0.5000 0.5000  6 Ca 2.27-2.52
18 N 0.5000 0.0000 0.5000  6 Ca 2.27-2.52
19 N 0.5000 0.5000 0.0000  6 Ca 2.27-2.52
20 Cl 0.0000 0.0000 0.0000  6 Ca 2.77

Values from the calculation:
ΔE_f (raw) = -1.00 eV/atom
DOS(E_F) = 8.414 states/eV/f.u.

=====

[11]
The following is a DFT calculation (GGA-PBE) of a relaxed Ca6Bi2NCl crystal.

Cell: 7.3076 7.3076 7.3076 Å, 60.00 60.00 60.00°
With the nearest neighbours (Å) after each atom.
Element x y z (fractional)
1 Ca 0.2307 0.2307 0.7693  1 N 2.38
2 Ca 0.2307 0.7693 0.2307  1 N 2.38
3 Ca 0.2307 0.7693 0.7693  1 N 2.38
4 Ca 0.7693 0.2307 0.2307  1 N 2.38
5 Ca 0.7693 0.2307 0.7693  1 N 2.38
6 Ca 0.7693 0.7693 0.2307  1 N 2.38
7 Bi 0.2500 0.2500 0.2500  12 Ca 3.66
8 Bi 0.7500 0.7500 0.7500  12 Ca 3.66
9 N 0.0000 0.0000 0.0000  6 Ca 2.38
10 Cl 0.5000 0.5000 0.5000  6 Ca 2.78

Values from the calculation:
ΔE_f (raw) = -0.95 eV/atom
DOS(E_F) = 7.322 states/eV/f.u.

=====

[12]
The following is a DFT calculation (GGA-PBE) of a relaxed NaCa2BiCl8 crystal.

Cell: 6.3458 8.4508 6.5703 Å, 90.00 90.38 90.00°
With the nearest neighbours (Å) after each atom.
Element x y z (fractional)
1 Na 0.0000 0.0000 0.0000  6 Cl 2.79-2.87
2 Ca 0.5000 0.2391 0.5000  6 Cl 2.69-2.85
3 Ca 0.5000 0.7609 0.5000  6 Cl 2.69-2.85
4 Bi 0.0000 0.5000 0.0000  6 Cl 2.72-2.78
5 Cl 0.2260 0.2615 0.8286  1 Bi 2.72, 1 Ca 2.79, 1 Na 2.87
6 Cl 0.2260 0.7385 0.8286  1 Bi 2.72, 1 Ca 2.79, 1 Na 2.87
7 Cl 0.2747 0.5000 0.3313  1 Bi 2.78, 2 Ca 2.85
8 Cl 0.2830 0.0000 0.3277  2 Ca 2.69, 1 Na 2.79
9 Cl 0.7170 0.0000 0.6723  2 Ca 2.69, 1 Na 2.79
10 Cl 0.7253 0.5000 0.6687  1 Bi 2.78, 2 Ca 2.85
11 Cl 0.7740 0.2615 0.1714  1 Bi 2.72, 1 Ca 2.79, 1 Na 2.87
12 Cl 0.7740 0.7385 0.1714  1 Bi 2.72, 1 Ca 2.79, 1 Na 2.87

Values from the calculation:
ΔE_f (raw) = -1.82 eV/atom
DOS(E_F) = 0.000 states/eV/f.u.

=====

Copy entry 6 word for word.
The following is a DFT calculation (GGA-PBE) of a relaxed CaBiClF2 crystal.

Cell: 4.8573 4.8573 5.1624 Å, 90.00 90.00 90.00°
With the nearest neighbours (Å) after each atom.
Element x y z (fractional)
1 Ca 0.0000 0.0000 0.0000  4 Bi 3.43, 8 F 3.54
2 Bi 0.5000 0.5000 0.0000  2 Cl 2.58
3 Cl 0.5000 0.5000 0.5000  4 F 2.43, 2 Bi 2.58
4 F 0.0000 0.5000 0.5000  2 Cl 2.43
5 F 0.5000 0.0000 0.5000  2 Cl 2.43

Values from the calculation:
ΔE_f (raw) = -0.84 eV/atom
DOS(E_F) = 4.186 states/eV/f.u.